20
Lattice="-1.485 -4.120 -1.862 6.544 0.529 -3.406 0.353 -6.349 7.435" Properties=species:S:1:pos:R:3 comment="Ta3TiRh6 GGA-PBE optimized geometry" final_energy_ev_per_atom=-9.333 ef_ev_per_atom=-0.58 magmom_total_mub_per_cell=0.0 pbc="T T T"
Ta 3.146 -4.022 -2.094
Ta 4.699 -0.839 -3.147
Ta 2.266 -5.917 4.261
Ta 0.713 -9.101 5.315
Ta 2.209 -6.731 1.474
Ta 3.204 -3.209 0.694
Rh 2.646 -1.341 -1.294
Rh 0.371 -6.588 6.014
Rh 4.091 -5.692 -0.257
Rh 2.767 -8.599 3.462
Rh 4.748 -7.665 1.678
Rh 4.157 -5.121 2.544
Rh 1.256 -4.819 -0.376
Rh 1.321 -4.248 2.424
Rh 0.664 -2.275 0.489
Rh 5.242 -2.676 -1.087
Rh 0.170 -7.264 3.254
Rh 5.041 -3.352 -3.846
Ti -0.668 -5.782 1.205
Ti 6.080 -4.158 0.963

5
Lattice="4.053 0.000 0.000 0.000 4.053 0.000 0.000 0.000 4.053" Properties=species:S:1:pos:R:3 comment="Re3NF GGA-PBE optimized geometry" final_energy_ev_per_atom=-8.679 e_form_raw_ev_per_atom=0.83 magmom_total_mub_per_cell=0.0 pbc="T T T"
Re 0.000 2.027 0.000
Re 0.000 0.000 2.027
Re 2.027 0.000 0.000
F 2.027 2.027 2.027
N 0.000 0.000 0.000